Rb3Nd2YSe6, optimized geometry, DFT PBE-GGA; total DFT energy (no corrections) = -60.656 eV per cell; calculated volume = 32.60 Å³ per atom
1.0
-2.213 -5.022 -5.122
2.223 -2.296 6.793
-7.539 3.041 2.111
Rb Se Nd Y
3 6 2 1
Direct
0.168 0.832 0.500 Rb
0.832 0.168 0.500 Rb
0.500 0.500 0.500 Rb
0.741 0.741 0.200 Se
0.066 0.392 0.199 Se
0.934 0.608 0.801 Se
0.392 0.066 0.199 Se
0.259 0.259 0.800 Se
0.608 0.934 0.801 Se
0.667 0.333 0.000 Nd
0.333 0.667 0.000 Nd
0.000 0.000 0.000 Y